Compound: KCr2NiO8
Source: the Alexandria database
Functional: PBE+U
Structure: relaxed

Calculated total energy (eV per atom): -6.048
Magnetization (μB per cell): 0.96

a = 5.2856 Å, b = 5.2856 Å, c = 7.6329 Å
α = 90.00°, β = 90.00°, γ = 120.00°
Space group P-3 (No. 147)
One atom of each set of equivalent atoms:
1 K 0.0000 0.0000 0.0000
2 Cr 0.3333 0.6667 0.7254
3 Ni 0.0000 0.0000 0.5000
4 O 0.0768 0.3340 0.6590
5 O 0.3333 0.6667 0.9401